Entry 1:
The following is a DFT calculation (GGA-PBE) of a relaxed In2BP crystal.

POSCAR file:
```
In2BP
1.0
-2.9042 2.9042 5.3861
2.9042 -2.9042 5.3861
2.9042 2.9042 -5.3861
In B P
4 2 2
Cartesian
4.3563 1.2273 -1.3465 In
1.2273 1.4521 1.3465 In
-1.4521 1.6769 4.0396 In
1.6769 1.4521 6.7326 In
0.0000 0.0000 0.0000 B
0.0000 2.9042 2.6931 B
2.9042 0.0000 2.6931 P
0.0000 0.0000 5.3861 P
```

Calculated values
N(E_F) = 3.219 states/eV/cell
energy = -3.838 eV per atom
E_form = 553 meV per atom
distance to the lowest polymorph of the same formula = 0.0000 eV/atom


Entry 2:
The following is a DFT calculation (GGA-PBE) of a relaxed Ce2PuSi2Pt2 crystal.

POSCAR file:
```
Ce2PuSi2Pt2
1.0
2.1280 1.2286 9.2303
-2.1280 1.2286 9.2303
0.0000 -2.4572 9.2303
Ce Pu Si Pt
2 1 2 2
Cartesian
0.0000 0.0000 3.8099 Ce
0.0000 0.0000 23.8809 Ce
0.0000 0.0000 0.0000 Pu
0.0000 0.0000 7.1896 Si
0.0000 0.0000 20.5012 Si
0.0000 0.0000 11.1533 Pt
0.0000 0.0000 16.5375 Pt
```

Calculated values
N(E_F) = 18.039 states/eV/cell
energy = -7.844 eV per atom
energy relative to the elements, uncorrected = -0.826 eV per atom


Entry 3:
The following is a DFT calculation (GGA-PBE) of a relaxed ZrCoBr crystal.

POSCAR file:
```
ZrCoBr
1.0
0.0000 3.0763 3.0763
3.0763 0.0000 3.0763
3.0763 3.0763 0.0000
Zr Co Br
1 1 1
Cartesian
0.0000 0.0000 0.0000 Zr
4.6144 4.6144 4.6144 Co
3.0763 3.0763 3.0763 Br
```

Calculated values
N(E_F) = 5.120 states/eV/cell
energy = -5.485 eV per atom
energy relative to the elements, uncorrected = 0.291 eV per atom


Entry 4:
The following is a DFT calculation (GGA-PBE) of a relaxed CeTlRh2 crystal.

POSCAR file:
```
CeTlRh2
1.0
4.5738 0.0000 0.0000
0.0000 4.5738 0.0000
0.0000 0.0000 3.7247
Ce Tl Rh
1 1 2
Cartesian
0.0000 0.0000 0.0000 Ce
2.2869 2.2869 0.0000 Tl
0.0000 2.2869 1.8624 Rh
2.2869 0.0000 1.8624 Rh
```

Calculated values
N(E_F) = 5.964 states/eV/cell
energy = -6.206 eV per atom
E_form = -456 meV per atom


Entry 5:
The following is a DFT calculation (GGA-PBE) of a relaxed SrLi3 crystal.

POSCAR file:
```
SrLi3
1.0
1.9118 1.1038 9.6829
-1.9118 1.1038 9.6829
0.0000 -2.2075 9.6829
Sr Li
1 3
Cartesian
0.0000 0.0000 0.0000 Sr
0.0000 0.0000 6.8147 Li
0.0000 0.0000 14.5244 Li
0.0000 0.0000 22.2340 Li
```

Calculated values
N(E_F) = 1.759 states/eV/cell
energy = -1.705 eV per atom
E_form = 151 meV per atom


Entry 6:
The following is a DFT calculation (GGA-PBE) of a relaxed YScAl2O crystal.

POSCAR file:
```
YScAl2O
1.0
5.5568 0.0000 0.0000
0.0000 5.5568 0.0000
0.0000 0.0000 3.8153
Y Sc Al O
1 1 2 1
Cartesian
0.0000 0.0000 0.0000 Y
2.7784 2.7784 1.9076 Sc
0.0000 2.7784 1.9076 Al
2.7784 0.0000 1.9076 Al
2.7784 2.7784 0.0000 O
```

Calculated values
N(E_F) = 3.492 states/eV/cell
energy = -5.557 eV per atom
energy relative to the elements, uncorrected = -0.509 eV per atom
distance to the lowest polymorph of the same formula = 0.0000 eV/atom


Entry 7:
The following is a DFT calculation (GGA-PBE) of a relaxed Pr3MgSe4 crystal.

POSCAR file:
```
Pr3MgSe4
1.0
4.2673 -5.9437 0.0000
4.2673 5.9437 0.0000
0.0000 0.0000 4.1219
Pr Mg Se
3 1 4
Cartesian
0.0000 0.0000 0.0000 Pr
2.1337 2.9718 2.0610 Pr
2.1337 -2.9718 2.0610 Pr
4.2673 0.0000 0.0000 Mg
4.2673 2.8208 0.0000 Se
2.3362 0.0000 2.0610 Se
6.1984 0.0000 2.0610 Se
4.2673 -2.8208 0.0000 Se
```

Calculated values
N(E_F) = 4.429 states/eV/cell
energy = -5.354 eV per atom
energy relative to the elements, uncorrected = -1.620 eV per atom


Entry 8:
The following is a DFT calculation (GGA-PBE) of a relaxed RhCO2 crystal.

POSCAR file:
```
RhCO2
1.0
1.3620 0.7864 8.5146
-1.3620 0.7864 8.5146
0.0000 -1.5727 8.5146
Rh C O
1 1 2
Cartesian
0.0000 0.0000 0.0000 Rh
0.0000 0.0000 12.7718 C
0.0000 0.0000 11.5969 O
0.0000 0.0000 13.9468 O
```

Calculated values
N(E_F) = 2.194 states/eV/cell
energy = -6.865 eV per atom
energy relative to the elements, uncorrected = -0.242 eV per atom


Entry 9:
The following is a DFT calculation (GGA-PBE) of a relaxed TcHg3Ge crystal.

POSCAR file:
```
TcHg3Ge
1.0
5.2657 0.0000 0.0000
0.0000 5.2657 0.0000
0.0000 0.0000 5.2657
Tc Hg Ge
1 3 1
Cartesian
0.0000 0.0000 0.0000 Tc
0.0000 0.0000 2.6329 Hg
0.0000 2.6329 0.0000 Hg
2.6329 0.0000 0.0000 Hg
2.6329 2.6329 2.6329 Ge
```

Calculated values
N(E_F) = 3.212 states/eV/cell
energy = -2.202 eV per atom
E_form = 976 meV per atom
distance to the lowest polymorph of the same formula = 0.0000 eV/atom


Entry 10:
The following is a DFT calculation (GGA-PBE) of a relaxed SiTe2Cl crystal.

POSCAR file:
```
SiTe2Cl
1.0
0.0000 3.5804 3.5804
3.5804 0.0000 3.5804
3.5804 3.5804 0.0000
Si Te Cl
1 2 1
Cartesian
0.0000 0.0000 0.0000 Si
1.7902 1.7902 1.7902 Te
5.3706 5.3706 5.3706 Te
3.5804 3.5804 3.5804 Cl
```

Calculated values
N(E_F) = 4.183 states/eV/cell
energy = -3.007 eV per atom
energy relative to the elements, uncorrected = 0.381 eV per atom
distance to the lowest polymorph of the same formula = 0.4672 eV/atom


Entry 11:
The following is a DFT calculation (GGA-PBE) of a relaxed K3ReO6 crystal.

POSCAR file:
```
K3ReO6
1.0
6.2748 0.0000 0.0000
0.0000 6.4273 0.0000
-6.2580 0.0000 8.9235
K Re O
6 2 12
Cartesian
0.0000 0.0000 0.0000 K
-3.1290 3.2136 4.4617 K
-3.1859 0.2549 6.6717 K
-0.0569 2.9587 2.2099 K
0.0738 3.4686 6.7135 K
3.2027 6.1723 2.2518 K
0.0084 0.0000 4.4617 Re
3.1374 3.2136 0.0000 Re
-1.5153 1.0717 4.1677 O
-4.6443 2.1419 8.6294 O
-4.1224 4.7540 8.4771 O
-0.9934 4.8869 4.0153 O
0.4994 0.2115 2.6524 O
-2.6296 3.0022 7.1142 O
2.6464 3.4251 1.8093 O
-0.4826 6.2158 6.2710 O
1.0102 1.5403 4.9081 O
4.1392 1.6733 0.4464 O
4.6611 4.2853 0.2940 O
1.5321 5.3555 4.7558 O
```

Calculated values
N(E_F) = 16.177 states/eV/cell
energy = -5.965 eV per atom
energy relative to the elements, uncorrected = -1.416 eV per atom


Entry 12:
The following is a DFT calculation (GGA-PBE) of a relaxed ReTcN2F crystal.

POSCAR file:
```
ReTcN2F
1.0
3.9208 0.0000 0.0000
0.0000 3.9208 0.0000
0.0000 0.0000 4.1282
Re Tc N F
1 1 2 1
Cartesian
0.0000 0.0000 0.0000 Re
1.9604 1.9604 2.0641 Tc
0.0000 1.9604 0.0000 N
1.9604 0.0000 0.0000 N
0.0000 0.0000 2.0641 F
```

Calculated values
N(E_F) = 3.898 states/eV/cell
energy = -7.661 eV per atom
energy relative to the elements, uncorrected = 0.606 eV per atom
distance to the lowest polymorph of the same formula = 0.0000 eV/atom


Sequential V output: 22.714, 20.684, 19.408, 19.480, 30.648, 23.562, 26.137, 13.679, 29.201, 22.949, 17.994, 12.693 Å³ per atom